First-principles (SCAN) data for a crystal of HfSn2 relaxed with PBEsol, as listed in the Alexandria database.

Cell: 5.444 5.444 7.588 Å, 90.00 90.00 120.00°
Fractional coordinates of all 9 atoms:
Hf  0.500  0.500  0.000
Hf  0.000  0.500  0.333
Hf  0.500  0.000  0.667
Sn  0.168  0.832  0.000
Sn  0.665  0.832  0.333
Sn  0.168  0.335  0.667
Sn  0.832  0.168  0.000
Sn  0.335  0.168  0.333
Sn  0.832  0.665  0.667

Calculated values
Fermi-level density of states (states/eV per cell): 3.573
Formation enthalpy at 0 K (eV per atom): -0.2953

***

First-principles (SCAN) data for a crystal of Hf3SnTe relaxed with PBEsol, as listed in the Alexandria database.

Cell: 5.197 5.197 5.197 Å, 90.00 90.00 90.00°
Fractional coordinates of all 5 atoms:
Te  0.500  0.500  0.500
Hf  0.000  0.500  0.000
Hf  0.000  0.000  0.500
Hf  0.500  0.000  0.000
Sn  0.000  0.000  0.000

Calculated values
Fermi-level density of states (states/eV per cell): 7.189
E_form (uncorrected) (kcal/mol of atoms): 24.401

***

First-principles (SCAN) data for a crystal of HfTi2Sn2 relaxed with PBEsol, as listed in the Alexandria database.

Cell: 3.520 7.445 7.445 Å, 90.00 90.00 90.00°
Fractional coordinates of all 10 atoms:
Hf  0.000  0.000  0.000
Hf  0.000  0.500  0.500
Sn  0.000  0.364  0.864
Sn  0.000  0.864  0.636
Sn  0.000  0.636  0.136
Sn  0.000  0.136  0.364
Ti  0.500  0.165  0.665
Ti  0.500  0.665  0.835
Ti  0.500  0.835  0.335
Ti  0.500  0.335  0.165

Calculated values
Fermi-level density of states (states/eV per cell): 8.560
Formation enthalpy at 0 K (eV per atom): -0.3589

***

First-principles (SCAN) data for a crystal of YHfSn3 relaxed with PBEsol, as listed in the Alexandria database.

Cell: 5.354 5.354 5.354 Å, 90.00 90.00 90.00°
Fractional coordinates of all 5 atoms:
Y  0.500  0.500  0.500
Hf  0.000  0.000  0.000
Sn  0.000  0.500  0.000
Sn  0.000  0.000  0.500
Sn  0.500  0.000  0.000

Calculated values
Fermi-level density of states (states/eV per cell): 3.318
Formation enthalpy at 0 K (eV per atom): 0.0818